Entry from the Alexandria database: CoTc2NiAg after structural relaxation (PBE-GGA).

```
CoTc2NiAg
1.0
4.4456 0.0000 0.0000
0.0000 4.3194 0.0000
0.0000 0.0000 4.4456
Ni Tc Ag Co
1 2 1 1
Direct
0.0000 0.0000 0.0000 Ni
0.0000 0.0000 0.5000 Tc
0.5000 0.0000 0.0000 Tc
0.5000 0.5000 0.5000 Ag
0.0000 0.5000 0.0000 Co
```

Computed properties:
* D(E_F): 8.0 states/eV/cell
* symmetry: P4/mmm, No. 123
* total magnetization: 3.81 Bohr magnetons per cell
* formation energy from the elements: 1.42 eV/atom
* electronic total energy: -29.4 eV per cell